i) KLiTc2 | PBE | relaxed

Computed properties:
Space group ... P2/m
Size of the total moment ... 0.0 Bohr magnetons per cell

Lattice parameters (Å, degrees): 2.667 5.538 4.951 90.00 99.51 90.00
Positions (direct):
K 0.000 0.000 0.000
Li 0.500 0.000 0.500
Tc 0.326 0.500 0.756
Tc 0.674 0.500 0.244

=====

ii) KLiTc2 | PBE | relaxed

Computed properties:
Space group ... P4/mmm
Size of the total moment ... 0.0 Bohr magnetons per cell

Lattice parameters (Å, degrees): 3.311 3.311 7.710 90.00 90.00 90.00
Positions (direct):
K 0.000 0.000 0.000
Li 0.000 0.000 0.500
Tc 0.500 0.500 0.363
Tc 0.500 0.500 0.637

=====

iii) KLiTc2 | PBE | relaxed

Computed properties:
Space group ... Cmm2
Size of the total moment ... 0.0 Bohr magnetons per cell

Lattice parameters (Å, degrees): 3.039 4.646 10.695 90.00 90.00 90.00
Positions (direct):
K 0.000 0.000 0.000
K 0.500 0.500 0.000
Li 0.000 0.500 0.679
Li 0.500 0.000 0.679
Tc 0.000 0.000 0.466
Tc 0.000 0.500 0.273
Tc 0.500 0.000 0.273
Tc 0.500 0.500 0.466

=====

Relative energy table, unit meV per atom: i) 232; ii) 293; iii) 0

=====

i) KLiTc2 | PBE | relaxed

Computed properties:
Space group ... R-3m
Size of the total moment ... 6.0 Bohr magnetons per cell

Lattice parameters (Å, degrees): 2.742 2.742 32.265 90.00 90.00 120.00
Positions (direct):
K 0.000 0.000 0.000
K 0.333 0.667 0.667
K 0.667 0.333 0.333
Li 0.000 0.000 0.500
Li 0.333 0.667 0.167
Li 0.667 0.333 0.833
Tc 0.000 0.000 0.240
Tc 0.000 0.000 0.760
Tc 0.333 0.667 0.426
Tc 0.333 0.667 0.907
Tc 0.667 0.333 0.093
Tc 0.667 0.333 0.574

=====

ii) KLiTc2 | PBE | relaxed

Computed properties:
Space group ... Cmmm
Size of the total moment ... 0.0 Bohr magnetons per cell

Lattice parameters (Å, degrees): 5.133 10.935 2.576 90.00 90.00 90.00
Positions (direct):
K 0.000 0.000 0.000
K 0.500 0.500 0.000
Li 0.000 0.500 0.000
Li 0.500 0.000 0.000
Tc 0.250 0.250 0.500
Tc 0.250 0.750 0.500
Tc 0.750 0.250 0.500
Tc 0.750 0.750 0.500

=====

iii) KLiTc2 | PBE | relaxed

Computed properties:
Space group ... Pm
Size of the total moment ... 0.4 Bohr magnetons per cell

Lattice parameters (Å, degrees): 3.112 3.112 8.753 90.00 90.12 90.00
Positions (direct):
K 0.000 0.000 0.000
Li 0.496 0.500 0.352
Tc 0.497 0.500 0.686
Tc 0.996 0.000 0.545

=====

iv) KLiTc2 | PBE | relaxed

Computed properties:
Space group ... Immm
Size of the total moment ... 0.0 Bohr magnetons per cell

Lattice parameters (Å, degrees): 2.713 4.593 11.281 90.00 90.00 90.00
Positions (direct):
K 0.000 0.000 0.000
K 0.500 0.500 0.500
Li 0.000 0.000 0.500
Li 0.500 0.500 0.000
Tc 0.000 0.500 0.227
Tc 0.000 0.500 0.773
Tc 0.500 0.000 0.273
Tc 0.500 0.000 0.727

=====

Relative energy table, unit meV per atom: i) 447; ii) 441; iii) 0; iv) 328

=====

i) KLiTc2 | PBE | relaxed

Computed properties:
Space group ... Pmmm
Size of the total moment ... 0.0 Bohr magnetons per cell

Lattice parameters (Å, degrees): 3.082 4.222 5.542 90.00 90.00 90.00
Positions (direct):
K 0.000 0.000 0.000
Li 0.500 0.500 0.000
Tc 0.000 0.500 0.500
Tc 0.500 0.000 0.500

=====

ii) KLiTc2 | PBE | relaxed

Computed properties:
Space group ... Cmmm
Size of the total moment ... 0.0 Bohr magnetons per cell

Lattice parameters (Å, degrees): 3.242 4.024 10.581 90.00 90.00 90.00
Positions (direct):
K 0.000 0.000 0.000
K 0.500 0.500 0.000
Li 0.000 0.000 0.500
Li 0.500 0.500 0.500
Tc 0.000 0.500 0.283
Tc 0.000 0.500 0.717
Tc 0.500 0.000 0.283
Tc 0.500 0.000 0.717

=====

Relative energy table, unit meV per atom: i) 119; ii) 0

=====

i) KLiTc3 | PBE | relaxed

Computed properties:
Space group ... Pm-3m
Size of the total moment ... 0.0 Bohr magnetons per cell

Lattice parameters (Å, degrees): 4.430 4.430 4.430 90.00 90.00 90.00
Positions (direct):
K 0.000 0.000 0.000
Li 0.500 0.500 0.500
Tc 0.000 0.500 0.500
Tc 0.500 0.000 0.500
Tc 0.500 0.500 0.000

=====

ii) KLiTc3 | PBE | relaxed

Computed properties:
Space group ... Pm-3m
Size of the total moment ... 3.2 Bohr magnetons per cell

Lattice parameters (Å, degrees): 4.562 4.562 4.562 90.00 90.00 90.00
Positions (direct):
K 0.000 0.000 0.000
Li 0.500 0.500 0.500
Tc 0.000 0.000 0.500
Tc 0.000 0.500 0.000
Tc 0.500 0.000 0.000

=====

Relative energy table, unit meV per atom: i) 0; ii) 1025

=====

i) KLi2Te2 | PBE | relaxed

Computed properties:
Space group ... Fddd
Size of the total moment ... 0.0 Bohr magnetons per cell

Lattice parameters (Å, degrees): 9.156 7.947 6.762 76.52 57.58 45.91
Positions (direct):
K 0.125 0.125 0.125
K 0.875 0.875 0.875
Li 0.270 0.270 0.480
Li 0.480 0.480 0.270
Li 0.520 0.520 0.730
Li 0.730 0.730 0.520
Te 0.169 0.581 0.169
Te 0.419 0.831 0.419
Te 0.581 0.169 0.581
Te 0.831 0.419 0.831

=====

ii) KLi2Te2 | PBE | relaxed

Computed properties:
Space group ... P4/mbm
Size of the total moment ... 0.0 Bohr magnetons per cell

Lattice parameters (Å, degrees): 8.954 8.954 3.457 90.00 90.00 90.00
Positions (direct):
K 0.000 0.000 0.000
K 0.500 0.500 0.000
Li 0.122 0.378 0.500
Li 0.378 0.878 0.500
Li 0.622 0.122 0.500
Li 0.878 0.622 0.500
Te 0.163 0.663 0.000
Te 0.337 0.163 0.000
Te 0.663 0.837 0.000
Te 0.837 0.337 0.000

=====

iii) KLi2Te2 | PBE | relaxed

Computed properties:
Space group ... P4/mbm
Size of the total moment ... 0.0 Bohr magnetons per cell

Lattice parameters (Å, degrees): 8.678 8.678 3.450 90.00 90.00 90.00
Positions (direct):
K 0.000 0.000 0.000
K 0.500 0.500 0.000
Li 0.120 0.380 0.000
Li 0.380 0.880 0.000
Li 0.620 0.120 0.000
Li 0.880 0.620 0.000
Te 0.171 0.671 0.500
Te 0.329 0.171 0.500
Te 0.671 0.829 0.500
Te 0.829 0.329 0.500

=====

Relative energy table, unit meV per atom: i) 0; ii) 91; iii) 34

=====

i) KLiTi2 | PBE | relaxed

Computed properties:
Space group ... I-42d
Size of the total moment ... 0.0 Bohr magnetons per cell

Lattice parameters (Å, degrees): 3.853 3.853 24.515 90.00 90.00 90.00
Positions (direct):
K 0.000 0.000 0.000
K 0.000 0.500 0.250
K 0.500 0.000 0.750
K 0.500 0.500 0.500
Li 0.000 0.000 0.500
Li 0.000 0.500 0.750
Li 0.500 0.000 0.250
Li 0.500 0.500 0.000
Ti 0.238 0.750 0.625
Ti 0.250 0.238 0.375
Ti 0.250 0.262 0.875
Ti 0.262 0.750 0.125
Ti 0.738 0.250 0.125
Ti 0.750 0.738 0.875
Ti 0.750 0.762 0.375
Ti 0.762 0.250 0.625

=====

ii) KLiTi2 | PBE | relaxed

Computed properties:
Space group ... Fm-3m
Size of the total moment ... 16.9 Bohr magnetons per cell

Lattice parameters (Å, degrees): 7.282 7.282 7.282 90.00 90.00 90.00
Positions (direct):
K 0.000 0.000 0.000
K 0.000 0.500 0.500
K 0.500 0.000 0.500
K 0.500 0.500 0.000
Li 0.000 0.000 0.500
Li 0.000 0.500 0.000
Li 0.500 0.000 0.000
Li 0.500 0.500 0.500
Ti 0.250 0.250 0.250
Ti 0.250 0.250 0.750
Ti 0.250 0.750 0.250
Ti 0.250 0.750 0.750
Ti 0.750 0.250 0.250
Ti 0.750 0.250 0.750
Ti 0.750 0.750 0.250
Ti 0.750 0.750 0.750

=====

Relative energy table, unit meV per atom: i) 0; ii) 352

=====

i) K2LiTi2 | PBE | relaxed

Computed properties:
Space group ... P4/mbm
Size of the total moment ... 3.1 Bohr magnetons per cell

Lattice parameters (Å, degrees): 10.692 10.692 3.169 90.00 90.00 90.00
Positions (direct):
K 0.210 0.290 0.000
K 0.290 0.790 0.000
K 0.710 0.210 0.000
K 0.790 0.710 0.000
Li 0.000 0.000 0.500
Li 0.500 0.500 0.500
Ti 0.070 0.570 0.500
Ti 0.430 0.070 0.500
Ti 0.570 0.930 0.500
Ti 0.930 0.430 0.500

=====

ii) K2LiTi2 | PBE | relaxed

Computed properties:
Space group ... I4/mmm
Size of the total moment ... 1.7 Bohr magnetons per cell

Lattice parameters (Å, degrees): 4.620 4.620 16.090 90.00 90.00 90.00
Positions (direct):
K 0.000 0.500 0.250
K 0.000 0.500 0.750
K 0.500 0.000 0.250
K 0.500 0.000 0.750
Li 0.000 0.000 0.000
Li 0.500 0.500 0.500
Ti 0.000 0.000 0.438
Ti 0.000 0.000 0.562
Ti 0.500 0.500 0.062
Ti 0.500 0.500 0.938

=====

Relative energy table, unit meV per atom: i) 0; ii) 133

=====

i) K2LiTi | PBE | relaxed

Computed properties:
Space group ... I-42d
Size of the total moment ... 12.9 Bohr magnetons per cell

Lattice parameters (Å, degrees): 9.752 9.752 6.784 90.00 90.00 90.00
Positions (direct):
K 0.223 0.250 0.125
K 0.250 0.723 0.375
K 0.250 0.777 0.875
K 0.277 0.250 0.625
K 0.723 0.750 0.625
K 0.750 0.223 0.875
K 0.750 0.277 0.375
K 0.777 0.750 0.125
Li 0.000 0.000 0.000
Li 0.000 0.500 0.250
Li 0.500 0.000 0.750
Li 0.500 0.500 0.500
Ti 0.000 0.000 0.500
Ti 0.000 0.500 0.750
Ti 0.500 0.000 0.250
Ti 0.500 0.500 0.000

=====

ii) K2LiTi | PBE | relaxed

Computed properties:
Space group ... Fm-3m
Size of the total moment ... 12.9 Bohr magnetons per cell

Lattice parameters (Å, degrees): 8.717 8.717 8.717 90.00 90.00 90.00
Positions (direct):
K 0.250 0.250 0.250
K 0.250 0.250 0.750
K 0.250 0.750 0.250
K 0.250 0.750 0.750
K 0.750 0.250 0.250
K 0.750 0.250 0.750
K 0.750 0.750 0.250
K 0.750 0.750 0.750
Li 0.000 0.000 0.000
Li 0.000 0.500 0.500
Li 0.500 0.000 0.500
Li 0.500 0.500 0.000
Ti 0.000 0.000 0.500
Ti 0.000 0.500 0.000
Ti 0.500 0.000 0.000
Ti 0.500 0.500 0.500

=====

Relative energy table, unit meV per atom: i) 23; ii) 0

=====

i) K2LiTl | PBE | relaxed

Computed properties:
Space group ... C2/m
Size of the total moment ... 0.8 Bohr magnetons per cell

Lattice parameters (Å, degrees): 12.478 5.258 5.351 90.00 115.27 90.00
Positions (direct):
K 0.250 0.000 0.250
K 0.250 0.500 0.750
K 0.750 0.000 0.750
K 0.750 0.500 0.250
Li 0.000 0.000 0.500
Li 0.500 0.500 0.500
Tl 0.000 0.500 0.000
Tl 0.500 0.000 0.000

=====

ii) K2LiTl | PBE | relaxed

Computed properties:
Space group ... I-4m2
Size of the total moment ... 0.0 Bohr magnetons per cell

Lattice parameters (Å, degrees): 5.432 5.432 10.338 90.00 90.00 90.00
Positions (direct):
K 0.000 0.000 0.000
K 0.000 0.500 0.250
K 0.500 0.000 0.750
K 0.500 0.500 0.500
Li 0.000 0.500 0.750
Li 0.500 0.000 0.250
Tl 0.000 0.000 0.500
Tl 0.500 0.500 0.000

=====

iii) K2LiTl | PBE | relaxed

Computed properties:
Space group ... I-42d
Size of the total moment ... 0.0 Bohr magnetons per cell

Lattice parameters (Å, degrees): 9.735 9.735 6.731 90.00 90.00 90.00
Positions (direct):
K 0.241 0.750 0.125
K 0.250 0.241 0.875
K 0.250 0.259 0.375
K 0.259 0.750 0.625
K 0.741 0.250 0.625
K 0.750 0.741 0.375
K 0.750 0.759 0.875
K 0.759 0.250 0.125
Li 0.000 0.000 0.000
Li 0.000 0.500 0.250
Li 0.500 0.000 0.750
Li 0.500 0.500 0.500
Tl 0.000 0.000 0.500
Tl 0.000 0.500 0.750
Tl 0.500 0.000 0.250
Tl 0.500 0.500 0.000

=====

Relative energy table, unit meV per atom: i) 35; ii) 0; iii) 81

=====

i) KLiTl5 | PBE | relaxed

Computed properties:
Space group ... P4/mmm
Size of the total moment ... 0.0 Bohr magnetons per cell

Lattice parameters (Å, degrees): 4.957 4.957 8.493 90.00 90.00 90.00
Positions (direct):
K 0.000 0.000 0.000
Li 0.000 0.000 0.500
Tl 0.000 0.500 0.310
Tl 0.000 0.500 0.690
Tl 0.500 0.000 0.310
Tl 0.500 0.000 0.690
Tl 0.500 0.500 0.000

=====

ii) KLiTl5 | PBE | relaxed

Computed properties:
Space group ... P4/mmm
Size of the total moment ... 0.0 Bohr magnetons per cell

Lattice parameters (Å, degrees): 4.633 4.633 10.748 90.00 90.00 90.00
Positions (direct):
K 0.000 0.000 0.000
Li 0.500 0.500 0.500
Tl 0.000 0.000 0.500
Tl 0.000 0.500 0.275
Tl 0.000 0.500 0.725
Tl 0.500 0.000 0.275
Tl 0.500 0.000 0.725

=====

Relative energy table, unit meV per atom: i) 25; ii) 0